1.
Density functional theory data (PBE-GGA) for an optimized crystal structure of NdGa3Rh.

Output
energy of formation	-0.615	eV per atom
VASP energy	-4.86	eV per atom
crystal system	tetragonal
excess energy over the best structure of this formula in the dataset	0.000	eV/atom

Cell: 4.316 4.316 5.307 Å, 90.00 90.00 90.00°
Element x y z (fractional)
Nd 0.000 0.000 0.000
Ga 0.000 0.500 0.485
Ga 0.500 0.000 0.485
Ga 0.500 0.500 0.785
Rh 0.500 0.500 0.245

***

2.
Density functional theory data (PBE-GGA) for an optimized crystal structure of NdGa9Rh2.

Output
energy of formation	-0.399	eV per atom
VASP energy	-4.29	eV per atom
crystal system	tetragonal
excess energy over the best structure of this formula in the dataset	0.000	eV/atom

Cell: 8.327 8.327 8.327 Å, 102.18 102.18 125.31°
Element x y z (fractional)
Nd 0.375 0.625 0.750
Nd 0.625 0.375 0.250
Ga 0.125 0.875 0.250
Ga 0.141 0.565 0.335
Ga 0.141 0.806 0.577
Ga 0.194 0.270 0.335
Ga 0.194 0.859 0.923
Ga 0.270 0.194 0.835
Ga 0.270 0.435 0.077
Ga 0.435 0.270 0.577
Ga 0.435 0.859 0.165
Ga 0.565 0.141 0.835
Ga 0.565 0.730 0.423
Ga 0.730 0.565 0.923
Ga 0.730 0.806 0.165
Ga 0.806 0.141 0.077
Ga 0.806 0.730 0.665
Ga 0.859 0.194 0.423
Ga 0.859 0.435 0.665
Ga 0.875 0.125 0.750
Rh 0.000 0.000 0.000
Rh 0.000 0.000 0.500
Rh 0.000 0.500 0.000
Rh 0.500 0.000 0.500

***

3.
Density functional theory data (PBE-GGA) for an optimized crystal structure of Nd3Ga2Rh4.

Output
energy of formation	-0.609	eV per atom
VASP energy	-6.14	eV per atom
crystal system	monoclinic

Cell: 8.841 8.841 5.220 Å, 103.76 103.76 73.23°
Element x y z (fractional)
Nd 0.101 0.899 0.750
Nd 0.243 0.488 0.011
Nd 0.488 0.243 0.511
Nd 0.512 0.757 0.489
Nd 0.757 0.512 0.989
Nd 0.899 0.101 0.250
Ga 0.085 0.355 0.384
Ga 0.355 0.085 0.884
Ga 0.645 0.915 0.116
Ga 0.915 0.645 0.616
Rh 0.064 0.245 0.838
Rh 0.234 0.584 0.542
Rh 0.245 0.064 0.338
Rh 0.416 0.766 0.958
Rh 0.584 0.234 0.042
Rh 0.755 0.936 0.662
Rh 0.766 0.416 0.458
Rh 0.936 0.755 0.162

***

4.
Density functional theory data (PBE-GGA) for an optimized crystal structure of Nd3GaRh.

Output
energy of formation	-0.400	eV per atom
VASP energy	-5.34	eV per atom
crystal system	monoclinic
excess energy over the best structure of this formula in the dataset	0.105	eV/atom

Cell: 7.201 5.226 7.561 Å, 90.00 97.49 90.00°
Element x y z (fractional)
Nd 0.000 0.000 0.000
Nd 0.011 0.500 0.673
Nd 0.274 0.500 0.288
Nd 0.454 0.500 0.848
Nd 0.546 0.000 0.515
Nd 0.775 0.500 0.222
Ga 0.053 0.000 0.411
Ga 0.461 0.000 0.076
Rh 0.238 0.000 0.738
Rh 0.633 0.500 0.537

***

5.
Density functional theory data (PBE-GGA) for an optimized crystal structure of Nd2GaRh.

Output
energy of formation	-0.653	eV per atom
VASP energy	-5.63	eV per atom
crystal system	monoclinic

Cell: 6.150 3.966 8.643 Å, 90.00 109.11 90.00°
Element x y z (fractional)
Nd 0.194 0.250 0.410
Nd 0.276 0.750 0.056
Nd 0.724 0.250 0.944
Nd 0.806 0.750 0.590
Ga 0.354 0.750 0.712
Ga 0.646 0.250 0.288
Rh 0.117 0.250 0.792
Rh 0.883 0.750 0.208

***

6.
Density functional theory data (PBE-GGA) for an optimized crystal structure of NdGa3Rh.

Output
energy of formation	-0.451	eV per atom
VASP energy	-4.69	eV per atom
crystal system	orthorhombic
excess energy over the best structure of this formula in the dataset	0.164	eV/atom

Cell: 6.699 6.731 4.759 Å, 90.00 90.00 90.00°
Element x y z (fractional)
Nd 0.000 0.000 0.000
Nd 0.500 0.500 0.000
Ga 0.000 0.500 0.000
Ga 0.241 0.241 0.500
Ga 0.259 0.741 0.500
Ga 0.500 0.000 0.000
Ga 0.741 0.259 0.500
Ga 0.759 0.759 0.500
Rh 0.000 0.500 0.500
Rh 0.500 0.000 0.500

***

7.
Density functional theory data (PBE-GGA) for an optimized crystal structure of Nd3Ga8Rh.

Output
energy of formation	-0.228	eV per atom
VASP energy	-4.05	eV per atom
crystal system	tetragonal

Cell: 7.281 7.281 7.281 Å, 116.36 116.36 96.43°
Element x y z (fractional)
Nd 0.000 0.000 0.000
Nd 0.250 0.750 0.500
Nd 0.750 0.250 0.500
Ga 0.154 0.402 0.000
Ga 0.240 0.240 0.539
Ga 0.299 0.760 0.000
Ga 0.402 0.154 0.000
Ga 0.598 0.598 0.752
Ga 0.701 0.701 0.461
Ga 0.760 0.299 0.000
Ga 0.846 0.846 0.248
Rh 0.500 0.500 0.000

***

8.
Density functional theory data (PBE-GGA) for an optimized crystal structure of Nd3Ga3Rh2.

Output
energy of formation	-0.732	eV per atom
VASP energy	-5.49	eV per atom
crystal system	orthorhombic

Cell: 8.061 15.353 5.722 Å, 90.00 90.00 90.00°
Element x y z (fractional)
Nd 0.034 0.107 0.113
Nd 0.034 0.393 0.113
Nd 0.166 0.250 0.618
Nd 0.334 0.750 0.118
Nd 0.466 0.607 0.613
Nd 0.466 0.893 0.613
Nd 0.534 0.107 0.387
Nd 0.534 0.393 0.387
Nd 0.666 0.250 0.882
Nd 0.834 0.750 0.382
Nd 0.966 0.607 0.887
Nd 0.966 0.893 0.887
Ga 0.173 0.037 0.599
Ga 0.173 0.463 0.599
Ga 0.177 0.750 0.612
Ga 0.323 0.250 0.112
Ga 0.327 0.537 0.099
Ga 0.327 0.963 0.099
Ga 0.673 0.037 0.901
Ga 0.673 0.463 0.901
Ga 0.677 0.750 0.888
Ga 0.823 0.250 0.388
Ga 0.827 0.537 0.401
Ga 0.827 0.963 0.401
Rh 0.117 0.606 0.372
Rh 0.117 0.894 0.372
Rh 0.383 0.106 0.872
Rh 0.383 0.394 0.872
Rh 0.617 0.606 0.128
Rh 0.617 0.894 0.128
Rh 0.883 0.106 0.628
Rh 0.883 0.394 0.628

***

9.
Density functional theory data (PBE-GGA) for an optimized crystal structure of Nd3GaRh2.

Output
energy of formation	-0.527	eV per atom
VASP energy	-5.87	eV per atom
crystal system	monoclinic
excess energy over the best structure of this formula in the dataset	0.122	eV/atom

Cell: 7.529 7.529 10.925 Å, 109.98 109.98 34.01°
Element x y z (fractional)
Nd 0.053 0.053 0.258
Nd 0.210 0.210 0.604
Nd 0.355 0.355 0.997
Nd 0.645 0.645 0.003
Nd 0.790 0.790 0.396
Nd 0.947 0.947 0.742
Ga 0.406 0.406 0.306
Ga 0.594 0.594 0.694
Rh 0.155 0.155 0.831
Rh 0.406 0.406 0.550
Rh 0.594 0.594 0.450
Rh 0.845 0.845 0.169

***

10.
Density functional theory data (PBE-GGA) for an optimized crystal structure of Nd3GaRh2.

Output
energy of formation	-0.650	eV per atom
VASP energy	-5.99	eV per atom
crystal system	orthorhombic
excess energy over the best structure of this formula in the dataset	0.000	eV/atom

Cell: 12.223 3.964 12.265 Å, 90.00 90.00 90.00°
Element x y z (fractional)
Nd 0.061 0.250 0.123
Nd 0.129 0.750 0.569
Nd 0.198 0.250 0.820
Nd 0.302 0.750 0.320
Nd 0.371 0.250 0.069
Nd 0.439 0.750 0.623
Nd 0.561 0.250 0.377
Nd 0.629 0.750 0.931
Nd 0.698 0.250 0.680
Nd 0.802 0.750 0.180
Nd 0.871 0.250 0.431
Nd 0.939 0.750 0.877
Ga 0.121 0.250 0.370
Ga 0.379 0.750 0.870
Ga 0.621 0.250 0.130
Ga 0.879 0.750 0.630
Rh 0.010 0.750 0.304
Rh 0.193 0.750 0.989
Rh 0.307 0.250 0.489
Rh 0.490 0.250 0.804
Rh 0.510 0.750 0.196
Rh 0.693 0.750 0.511
Rh 0.807 0.250 0.011
Rh 0.990 0.250 0.696

***

11.
Density functional theory data (PBE-GGA) for an optimized crystal structure of Nd6Ga2Rh.

Output
energy of formation	-0.360	eV per atom
VASP energy	-5.03	eV per atom
crystal system	monoclinic

Cell: 6.059 8.718 11.154 Å, 90.00 117.59 90.00°
Element x y z (fractional)
Nd 0.050 0.177 0.447
Nd 0.050 0.323 0.947
Nd 0.351 0.673 0.443
Nd 0.351 0.827 0.943
Nd 0.367 0.028 0.265
Nd 0.367 0.472 0.765
Nd 0.633 0.528 0.235
Nd 0.633 0.972 0.735
Nd 0.649 0.173 0.057
Nd 0.649 0.327 0.557
Nd 0.950 0.677 0.053
Nd 0.950 0.823 0.553
Ga 0.170 0.125 0.756
Ga 0.170 0.375 0.256
Ga 0.830 0.625 0.744
Ga 0.830 0.875 0.244
Rh 0.000 0.000 0.000
Rh 0.000 0.500 0.500

***

12.
Density functional theory data (PBE-GGA) for an optimized crystal structure of NdGa3Rh5.

Output
energy of formation	-0.511	eV per atom
VASP energy	-6.13	eV per atom
crystal system	orthorhombic

Cell: 6.847 6.847 11.670 Å, 90.00 90.00 144.67°
Element x y z (fractional)
Nd 0.208 0.792 0.750
Nd 0.792 0.208 0.250
Ga 0.097 0.903 0.250
Ga 0.382 0.618 0.063
Ga 0.382 0.618 0.437
Ga 0.618 0.382 0.563
Ga 0.618 0.382 0.937
Ga 0.903 0.097 0.750
Rh 0.000 0.000 0.000
Rh 0.000 0.000 0.500
Rh 0.196 0.804 0.060
Rh 0.196 0.804 0.440
Rh 0.441 0.559 0.639
Rh 0.441 0.559 0.861
Rh 0.559 0.441 0.139
Rh 0.559 0.441 0.361
Rh 0.804 0.196 0.560
Rh 0.804 0.196 0.940

***

13.
Density functional theory data (PBE-GGA) for an optimized crystal structure of Nd8Ga2Rh.

Output
energy of formation	-0.328	eV per atom
VASP energy	-5.01	eV per atom
crystal system	monoclinic
excess energy over the best structure of this formula in the dataset	0.000	eV/atom

Cell: 9.664 9.664 6.903 Å, 100.36 100.36 30.49°
Element x y z (fractional)
Nd 0.023 0.023 0.278
Nd 0.208 0.208 0.810
Nd 0.347 0.347 0.527
Nd 0.408 0.408 0.044
Nd 0.592 0.592 0.956
Nd 0.653 0.653 0.473
Nd 0.792 0.792 0.190
Nd 0.977 0.977 0.722
Ga 0.189 0.189 0.248
Ga 0.811 0.811 0.752
Rh 0.500 0.500 0.500

***

14.
Density functional theory data (PBE-GGA) for an optimized crystal structure of Nd6GaRh3.

Output
energy of formation	-0.511	eV per atom
VASP energy	-5.88	eV per atom
crystal system	monoclinic

Cell: 10.723 4.498 12.272 Å, 90.00 111.49 90.00°
Element x y z (fractional)
Nd 0.023 0.250 0.389
Nd 0.089 0.250 0.928
Nd 0.239 0.750 0.312
Nd 0.340 0.750 0.800
Nd 0.367 0.750 0.100
Nd 0.383 0.250 0.568
Nd 0.617 0.750 0.432
Nd 0.633 0.250 0.900
Nd 0.660 0.250 0.200
Nd 0.761 0.250 0.688
Nd 0.911 0.750 0.072
Nd 0.977 0.750 0.611
Ga 0.421 0.250 0.294
Ga 0.579 0.750 0.706
Rh 0.099 0.250 0.173
Rh 0.192 0.750 0.526
Rh 0.390 0.250 0.957
Rh 0.610 0.750 0.043
Rh 0.808 0.250 0.474
Rh 0.901 0.750 0.827

***

15.
Density functional theory data (PBE-GGA) for an optimized crystal structure of Nd8Ga2Rh.

Output
energy of formation	-0.229	eV per atom
VASP energy	-4.92	eV per atom
crystal system	orthorhombic
excess energy over the best structure of this formula in the dataset	0.099	eV/atom

Cell: 8.889 8.889 8.889 Å, 148.47 119.30 70.02°
Element x y z (fractional)
Nd 0.121 0.339 0.782
Nd 0.122 0.122 0.000
Nd 0.331 0.000 0.331
Nd 0.443 0.661 0.782
Nd 0.557 0.339 0.218
Nd 0.669 0.000 0.669
Nd 0.878 0.878 0.000
Nd 0.879 0.661 0.218
Ga 0.302 0.802 0.500
Ga 0.698 0.198 0.500
Rh 0.000 0.500 0.500

***

16.
Density functional theory data (PBE-GGA) for an optimized crystal structure of NdGa4Rh3.

Output
energy of formation	-0.606	eV per atom
VASP energy	-5.47	eV per atom
crystal system	tetragonal

Cell: 4.168 4.168 8.414 Å, 90.00 90.00 90.00°
Element x y z (fractional)
Nd 0.000 0.000 0.000
Ga 0.000 0.500 0.325
Ga 0.000 0.500 0.675
Ga 0.500 0.000 0.325
Ga 0.500 0.000 0.675
Rh 0.000 0.000 0.500
Rh 0.500 0.500 0.156
Rh 0.500 0.500 0.844

***

17.
Density functional theory data (PBE-GGA) for an optimized crystal structure of NdGa4Rh2.

Output
energy of formation	-0.241	eV per atom
VASP energy	-4.75	eV per atom
crystal system	tetragonal
excess energy over the best structure of this formula in the dataset	0.442	eV/atom

Cell: 5.984 5.984 5.984 Å, 103.15 103.15 123.04°
Element x y z (fractional)
Nd 0.000 0.000 0.000
Ga 0.256 0.500 0.756
Ga 0.500 0.256 0.756
Ga 0.500 0.744 0.244
Ga 0.744 0.500 0.244
Rh 0.250 0.750 0.500
Rh 0.750 0.250 0.500

***

18.
Density functional theory data (PBE-GGA) for an optimized crystal structure of Nd3Ga2Rh7.

Output
energy of formation	-0.713	eV per atom
VASP energy	-6.70	eV per atom
crystal system	trigonal

Cell: 8.845 8.845 8.845 Å, 36.39 36.39 36.39°
Element x y z (fractional)
Nd 0.000 0.000 0.000
Nd 0.141 0.141 0.141
Nd 0.859 0.859 0.859
Ga 0.334 0.334 0.334
Ga 0.666 0.666 0.666
Rh 0.079 0.581 0.581
Rh 0.419 0.419 0.921
Rh 0.419 0.921 0.419
Rh 0.500 0.500 0.500
Rh 0.581 0.079 0.581
Rh 0.581 0.581 0.079
Rh 0.921 0.419 0.419

***

19.
Density functional theory data (PBE-GGA) for an optimized crystal structure of NdGa2Rh.

Output
energy of formation	-0.742	eV per atom
VASP energy	-5.28	eV per atom
crystal system	hexagonal

Cell: 4.228 4.228 10.484 Å, 90.00 90.00 120.00°
Element x y z (fractional)
Nd 0.333 0.667 0.250
Nd 0.667 0.333 0.750
Ga 0.333 0.667 0.572
Ga 0.333 0.667 0.928
Ga 0.667 0.333 0.072
Ga 0.667 0.333 0.428
Rh 0.000 0.000 0.000
Rh 0.000 0.000 0.500